A geometry-optimized LiYPuO4 structure, computed with PBE.

Geometry as CIF:
```
data_LiYPuO4
_chemical_formula_sum 'Li4 Y4 Pu4 O16'
_space_group_name_H-M_alt 'C m c m'
_space_group_IT_number 63
_space_group_name_Hall '-C 2c 2'
_cell_length_a 6.093
_cell_length_b 9.603
_cell_length_c 6.958
_cell_angle_alpha 90.00
_cell_angle_beta 90.00
_cell_angle_gamma 90.00
loop_
_atom_site_label
_atom_site_type_symbol
_atom_site_fract_x
_atom_site_fract_y
_atom_site_fract_z
Li1 Li 0.000 0.156 0.250
Y1 Y 0.000 0.500 0.000
Pu1 Pu 0.000 0.160 0.750
O1 O 0.000 0.264 0.011
O2 O 0.250 0.002 0.250
```

Calculated values
* N(E_F): 19.18 states/eV per cell
* ΔE_f (raw): -2.759 eV/atom